# La2Al9Ag6 (PBE, optimized geometry)
# - formation enthalpy at 0 K (eV/atom) = -0.19
# - N(E_F) (states/eV/f.u.) = 5.028
data_La2Al9Ag6
_chemical_formula_sum 'La2 Al9 Ag6'
_space_group_name_H-M_alt 'P 6/m m m'
_space_group_IT_number 191
_space_group_name_Hall '-P 6 2'
_cell_length_a 5.5679
_cell_length_b 5.5679
_cell_length_c 13.3472
_cell_angle_alpha 90.00
_cell_angle_beta 90.00
_cell_angle_gamma 120.00
loop_
_atom_site_label
_atom_site_type_symbol
_atom_site_fract_x
_atom_site_fract_y
_atom_site_fract_z
La1 La 0.0000 0.0000 0.1642
Al1 Al 0.0000 0.5000 0.0000
Al2 Al 0.0000 0.5000 0.3363
Ag1 Ag 0.3333 0.6667 0.1675
Ag2 Ag 0.3333 0.6667 0.5000